a | # Li9Co7O16

A relaxed structure of Li9Co7O16 (PBE with a Hubbard U, Alexandria via LeMat-Bulk).

## Properties
* volume: 8.907 Å³/atom
* density of states at the Fermi level: 0.358 states/eV per atom
* symmetry: No. 12

Cell: 7.7219 7.7219 5.1339 Å, 76.79 76.79 97.19°
Sites, in units of the cell vectors:
O  0.3757  0.8836  0.2296
O  0.0048  0.7676  0.2158
O  0.3599  0.3599  0.7752
O  0.1172  0.1172  0.2242
O  0.8828  0.8828  0.7758
O  0.7575  0.4927  0.7641
O  0.5073  0.2425  0.2359
O  0.7676  0.0048  0.2158
O  0.2324  0.9952  0.7842
O  0.9952  0.2324  0.7842
O  0.6243  0.1164  0.7704
O  0.6401  0.6401  0.2248
O  0.1164  0.6243  0.7704
O  0.8836  0.3757  0.2296
O  0.2425  0.5073  0.2359
O  0.4927  0.7575  0.7641
Co  0.1278  0.3752  0.0042
Co  0.8722  0.6248  0.9958
Co  0.6248  0.8722  0.9958
Co  0.3752  0.1278  0.0042
Co  0.2560  0.7440  0.0000
Co  0.0000  0.0000  0.0000
Co  0.7440  0.2560  0.0000
Li  0.2589  0.2589  0.4957
Li  0.1252  0.8748  0.5000
Li  0.3761  0.6239  0.5000
Li  0.8748  0.1252  0.5000
Li  0.5000  0.5000  0.0000
Li  0.6239  0.3761  0.5000
Li  0.7411  0.7411  0.5043
Li  0.5000  0.0000  0.5000
Li  0.0000  0.5000  0.5000


b | # Li9Co7O16

A relaxed structure of Li9Co7O16 (PBE with a Hubbard U, Alexandria via LeMat-Bulk).

## Properties
* volume: 8.475 Å³/atom
* density of states at the Fermi level: 0.084 states/eV per atom
* symmetry: No. 2

Cell: 4.9831 5.0477 11.4154 Å, 90.04 90.56 109.16°
Sites, in units of the cell vectors:
O  0.2533  0.7818  0.3835
O  0.7610  0.2296  0.1292
O  0.2421  0.2161  0.5006
O  0.2272  0.2233  0.7507
O  0.7467  0.2182  0.6165
O  0.2626  0.7863  0.6194
O  0.7724  0.7761  0.7476
O  0.7553  0.2307  0.8688
O  0.7579  0.7839  0.4994
O  0.7374  0.2137  0.3806
O  0.2390  0.7704  0.8708
O  0.7832  0.7791  0.9996
O  0.2168  0.2209  0.0004
O  0.7728  0.7767  0.2493
O  0.2276  0.2239  0.2524
O  0.2447  0.7693  0.1312
Li  0.0000  0.5000  0.0000
Li  0.4997  0.5012  0.3708
Li  0.0005  0.5006  0.7557
Li  0.9995  0.4994  0.2443
Li  0.0000  0.5000  0.5000
Li  0.5000  0.0000  0.0000
Li  0.5046  0.4976  0.1175
Li  0.4954  0.5024  0.8825
Li  0.5003  0.4988  0.6292
Co  0.5042  0.0035  0.7607
Co  0.0011  0.0002  0.6246
Co  0.4958  0.9965  0.2393
Co  0.5000  0.0000  0.5000
Co  0.9990  0.0020  0.1226
Co  0.9989  0.9998  0.3754
Co  0.0010  0.9980  0.8774


What is the stability order? It is b, a, from most stable to least stable.


a | # Li7Co2O6

A relaxed structure of Li7Co2O6 (PBE with a Hubbard U, Alexandria via LeMat-Bulk).

## Properties
* volume: 10.109 Å³/atom
* density of states at the Fermi level: 0.357 states/eV per atom
* symmetry: No. 15

Cell: 6.6524 6.6524 9.9989 Å, 76.02 76.02 45.25°
Sites, in units of the cell vectors:
Li  0.9556  0.0444  0.7500
Li  0.8235  0.7282  0.7963
Li  0.5560  0.7786  0.0947
Li  0.3242  0.5503  0.6690
Li  0.7282  0.8235  0.2963
Li  0.2718  0.1765  0.7037
Li  0.4497  0.6758  0.8310
Li  0.0444  0.9556  0.2500
Li  0.7786  0.5560  0.5947
Li  0.4440  0.2214  0.9053
Li  0.6758  0.4497  0.3310
Li  0.1765  0.2718  0.2037
Li  0.2214  0.4440  0.4053
Li  0.5503  0.3242  0.1690
O  0.9485  0.3945  0.4143
O  0.8500  0.3475  0.1326
O  0.3945  0.9485  0.9143
O  0.3778  0.8589  0.2960
O  0.6525  0.1500  0.3674
O  0.8589  0.3778  0.7960
O  0.6222  0.1411  0.7040
O  0.0515  0.6055  0.5857
O  0.1411  0.6222  0.2040
O  0.3475  0.8500  0.6326
O  0.6055  0.0515  0.0857
O  0.1500  0.6525  0.8674
Co  0.2257  0.0122  0.4616
Co  0.0122  0.2257  0.9616
Co  0.9878  0.7743  0.0384
Co  0.7743  0.9878  0.5384


b | # Li7Co2O6

A relaxed structure of Li7Co2O6 (PBE with a Hubbard U, Alexandria via LeMat-Bulk).

## Properties
* volume: 9.531 Å³/atom
* density of states at the Fermi level: 0.047 states/eV per atom
* symmetry: No. 118

Cell: 8.7625 8.7625 3.7240 Å, 90.00 90.00 90.00°
Sites, in units of the cell vectors:
O  0.6703  0.3856  0.7224
O  0.8988  0.6012  0.7500
O  0.6012  0.1012  0.2500
O  0.1703  0.1144  0.2224
O  0.1144  0.8297  0.7776
O  0.1012  0.3988  0.7500
O  0.3856  0.3297  0.2776
O  0.6144  0.6703  0.2776
O  0.3988  0.8988  0.2500
O  0.3297  0.6144  0.7224
O  0.8297  0.8856  0.2224
O  0.8856  0.1703  0.7776
Li  0.3253  0.3892  0.7899
Li  0.6108  0.3253  0.2101
Li  0.1747  0.8892  0.2899
Li  0.5000  0.5000  0.5000
Li  0.8408  0.6592  0.2500
Li  0.6592  0.1592  0.7500
Li  0.3408  0.8408  0.7500
Li  0.8892  0.8253  0.7101
Li  0.3892  0.6747  0.2101
Li  0.0000  0.0000  0.0000
Li  0.1108  0.1747  0.7101
Li  0.6747  0.6108  0.7899
Li  0.1592  0.3408  0.2500
Li  0.8253  0.1108  0.2899
Co  0.1150  0.6150  0.7500
Co  0.6150  0.8850  0.2500
Co  0.3850  0.1150  0.2500
Co  0.8850  0.3850  0.7500


c | # Li7Co2O6

A relaxed structure of Li7Co2O6 (PBE with a Hubbard U, Alexandria via LeMat-Bulk).

## Properties
* volume: 9.687 Å³/atom
* symmetry: No. 1

Cell: 3.3387 3.3262 13.4465 Å, 93.74 77.49 88.21°
Sites, in units of the cell vectors:
Co  0.6381  0.1514  0.8934
Co  0.9095  0.6762  0.0204
O  0.3990  0.7369  0.4925
O  0.7012  0.6336  0.1516
O  0.0582  0.1829  0.3152
O  0.1694  0.7719  0.8904
O  0.7307  0.3162  0.6514
O  0.8734  0.1524  0.7428
Li  0.6408  0.1551  0.2193
Li  0.4869  0.2074  0.3966
Li  0.3062  0.2589  0.5730
Li  0.1434  0.6535  0.2199
Li  0.9843  0.7066  0.3981
Li  0.2356  0.6202  0.7493
Li  0.8228  0.7852  0.5764


What is the stability order? It is a, b, c, from most stable to least stable.


a | # Li7Co2O6

A relaxed structure of Li7Co2O6 (PBE with a Hubbard U, Alexandria via LeMat-Bulk).

## Properties
* volume: 9.829 Å³/atom
* symmetry: No. 1

Cell: 5.3297 5.3891 5.8362 Å, 117.23 87.02 98.37°
Sites, in units of the cell vectors:
Co  0.6909  0.3307  0.4979
Co  0.3819  0.6987  0.4985
O  0.8123  0.0935  0.1843
O  0.3191  0.2913  0.5068
O  0.7500  0.6896  0.4837
O  0.2363  0.5911  0.1550
O  0.7800  0.3379  0.7956
O  0.2551  0.9277  0.8407
Li  0.0258  0.9466  0.3862
Li  0.8587  0.4639  0.1435
Li  0.4724  0.8673  0.0838
Li  0.8806  0.9754  0.8126
Li  0.4088  0.2717  0.8410
Li  0.1775  0.2224  0.1749
Li  0.1133  0.5604  0.8217


b | # Li7Co2O6

A relaxed structure of Li7Co2O6 (PBE with a Hubbard U, Alexandria via LeMat-Bulk).

## Properties
* volume: 11.102 Å³/atom
* symmetry: No. 1

Cell: 5.2810 5.6087 6.9019 Å, 109.33 89.49 118.63°
Sites, in units of the cell vectors:
Co  0.7265  0.9880  0.5030
Co  0.9778  0.0038  0.0026
Li  0.3489  0.7286  0.7938
Li  0.4428  0.5265  0.1259
Li  0.7421  0.4937  0.6002
Li  0.7867  0.3640  0.9103
Li  0.5744  0.2178  0.2357
Li  0.2842  0.2260  0.6995
Li  0.0838  0.7157  0.3368
O  0.6506  0.6502  0.8948
O  0.9903  0.3399  0.1332
O  0.0081  0.3636  0.6862
O  0.3401  0.0868  0.9493
O  0.7047  0.6367  0.3825
O  0.4300  0.0699  0.4562


What is the stability order? It is a, b, from most stable to least stable.


a | # Li3Co2P3O12

A relaxed structure of Li3Co2P3O12 (PBE with a Hubbard U, Alexandria via LeMat-Bulk).

## Properties
* volume: 11.551 Å³/atom
* density of states at the Fermi level: 0.588 states/eV per atom
* symmetry: No. 148

Cell: 8.9334 8.9334 8.9334 Å, 56.39 56.39 56.39°
Sites, in units of the cell vectors:
O  0.1650  0.5356  0.4959
O  0.8350  0.4644  0.5041
O  0.3875  0.9942  0.1920
O  0.2076  0.5389  0.1567
O  0.5389  0.1567  0.2076
O  0.9942  0.1920  0.3875
O  0.8643  0.1231  0.7453
O  0.4959  0.1650  0.5356
O  0.5356  0.4959  0.1650
O  0.1231  0.7453  0.8643
O  0.0058  0.8080  0.6125
O  0.8433  0.7924  0.4611
O  0.1920  0.3875  0.9942
O  0.7453  0.8643  0.1231
O  0.6125  0.0058  0.8080
O  0.4611  0.8433  0.7924
O  0.8080  0.6125  0.0058
O  0.5041  0.8350  0.4644
O  0.2547  0.1357  0.8769
O  0.1567  0.2076  0.5389
O  0.7924  0.4611  0.8433
O  0.8769  0.2547  0.1357
O  0.4644  0.5041  0.8350
O  0.1357  0.8769  0.2547
P  0.5400  0.9599  0.2486
P  0.2486  0.5400  0.9599
P  0.7514  0.4600  0.0401
P  0.9599  0.2486  0.5400
P  0.0401  0.7514  0.4600
P  0.4600  0.0401  0.7514
Li  0.3322  0.7326  0.0806
Li  0.6678  0.2674  0.9194
Li  0.9194  0.6678  0.2674
Li  0.2674  0.9194  0.6678
Li  0.0806  0.3322  0.7326
Li  0.7326  0.0806  0.3322
Co  0.6502  0.6502  0.6502
Co  0.3498  0.3498  0.3498
Co  0.1478  0.1478  0.1478
Co  0.8522  0.8522  0.8522


b | # Li3Co2P3O12

A relaxed structure of Li3Co2P3O12 (PBE with a Hubbard U, Alexandria via LeMat-Bulk).

## Properties
* volume: 11.090 Å³/atom
* symmetry: No. 14

Cell: 8.4378 8.7593 12.0095 Å, 90.00 91.66 90.00°
Sites, in units of the cell vectors:
P  0.3856  0.3828  0.1500
P  0.8859  0.3911  0.3505
P  0.6141  0.8911  0.1495
P  0.1144  0.8828  0.3500
P  0.4595  0.2494  0.5081
P  0.0405  0.7494  0.9919
P  0.1141  0.6089  0.6495
P  0.9595  0.2506  0.0081
P  0.6144  0.6172  0.8500
P  0.8856  0.1172  0.6500
P  0.5405  0.7506  0.4919
P  0.3859  0.1089  0.8505
Li  0.0808  0.5911  0.1933
Li  0.5606  0.4902  0.3432
Li  0.4394  0.5098  0.6568
Li  0.1830  0.2798  0.6773
Li  0.6830  0.2202  0.1773
Li  0.3170  0.7798  0.8227
Li  0.9394  0.9902  0.1568
Li  0.0606  0.0098  0.8432
Li  0.9192  0.4089  0.8067
Li  0.8170  0.7202  0.3227
Li  0.4192  0.0911  0.3067
Li  0.5808  0.9089  0.6933
O  0.8727  0.5092  0.2514
O  0.8606  0.0789  0.5245
O  0.9431  0.6056  0.6018
O  0.7637  0.4534  0.4353
O  0.4501  0.8727  0.5563
O  0.6015  0.6396  0.5856
O  0.8743  0.2937  0.6642
O  0.1273  0.4908  0.7486
O  0.5499  0.1273  0.4437
O  0.9396  0.8351  0.9018
O  0.3138  0.1798  0.5653
O  0.1257  0.7063  0.3358
O  0.6257  0.7937  0.8358
O  0.7363  0.9534  0.0647
O  0.2694  0.4738  0.2198
O  0.0569  0.3944  0.3982
O  0.5608  0.4211  0.1860
O  0.3727  0.9908  0.7514
O  0.4396  0.6649  0.4018
O  0.8138  0.3202  0.0653
O  0.8318  0.2320  0.3105
O  0.1682  0.7680  0.6895
O  0.5604  0.3351  0.5982
O  0.5569  0.1056  0.8982
O  0.6862  0.8202  0.4347
O  0.1015  0.8604  0.0856
O  0.1862  0.6798  0.9347
O  0.6682  0.7320  0.1895
O  0.2637  0.0466  0.9353
O  0.9501  0.6273  0.0563
O  0.4392  0.5789  0.8140
O  0.3743  0.2063  0.1642
O  0.6394  0.5789  0.9755
O  0.6273  0.0092  0.2486
O  0.8985  0.1396  0.9144
O  0.3606  0.4211  0.0245
O  0.0608  0.0789  0.6860
O  0.2306  0.9738  0.2802
O  0.4431  0.8944  0.1018
O  0.3985  0.3604  0.4144
O  0.2363  0.5466  0.5647
O  0.7306  0.5262  0.7802
O  0.7694  0.0262  0.7198
O  0.1394  0.9211  0.4755
O  0.3318  0.2680  0.8105
O  0.9392  0.9211  0.3140
O  0.0499  0.3727  0.9437
O  0.0604  0.1649  0.0982
Co  0.7427  0.9738  0.8994
Co  0.7458  0.5351  0.1057
Co  0.7573  0.4738  0.6006
Co  0.2427  0.5262  0.3994
Co  0.2542  0.4649  0.8943
Co  0.2573  0.0262  0.1006
Co  0.7542  0.0351  0.3943
Co  0.2458  0.9649  0.6057


What is the stability order? It is b, a, from most stable to least stable.